No. 1
A relaxed Mg2SbPd4Au crystal. Source: the Alexandria database, functional PBE.

Calculated values
**Energy relative to the elements, uncorrected**: -0.574 eV per atom
**E_tot**: -4.49 eV per atom
**Total magnetization**: 0.00 μB/cell

Cell lengths 4.569, 4.569, 7.918 Å; angles 73.23, 73.23, 60.00 degrees
Element x y z (fractional)
Mg  0.758  0.758  0.725
Mg  0.242  0.242  0.275
Pd  0.370  0.370  0.890
Pd  0.630  0.630  0.110
Pd  0.880  0.880  0.361
Pd  0.120  0.120  0.639
Sb  0.000  0.000  0.000
Au  0.500  0.500  0.500

No. 2
A relaxed Tc2AgW crystal. Source: the Alexandria database, functional PBE.

Calculated values
**E_tot**: -8.78 eV per atom
**Energy relative to the elements**: 0.358 eV per atom
**Total magnetization**: 0.00 μB/cell

Cell lengths 2.756, 2.756, 8.307 Å; angles 90.00, 90.00, 90.00 degrees
Element x y z (fractional)
Tc  0.500  0.500  0.240
Tc  0.000  0.000  0.024
W  0.000  0.000  0.483
Ag  0.500  0.500  0.753